Record 1
Compound: NaSrCd2
Source: the Alexandria database
Functional: PBE
Structure: relaxed

a b c (Å): 6.6318 6.6318 7.7311
angles (deg): 90.00 90.00 133.06
Fractional coordinates of all 8 atoms:
Na  0.2074  0.7926  0.7500
Na  0.7926  0.2074  0.2500
Sr  0.0910  0.9090  0.2500
Sr  0.9090  0.0910  0.7500
Cd  0.3858  0.6142  0.0607
Cd  0.3858  0.6142  0.4393
Cd  0.6142  0.3858  0.5607
Cd  0.6142  0.3858  0.9393

Values from the calculation:
* E: -1.379 eV per atom
* SG: Cmcm, No. 63
* magnetization: 0.00 μB per formula unit
* calculated volume: 31.05 Å³ per atom

***

Record 2
Compound: Li2CdRe
Source: the Alexandria database
Functional: PBE
Structure: relaxed

a b c (Å): 4.5553 4.5553 4.5553
angles (deg): 60.00 60.00 60.00
Fractional coordinates of all 4 atoms:
Li  0.0000  0.0000  0.0000
Li  0.2500  0.2500  0.2500
Cd  0.7500  0.7500  0.7500
Re  0.5000  0.5000  0.5000

Values from the calculation:
* E: -3.648 eV per atom
* SG: F-43m, No. 216
* magnetization: 2.44 μB per formula unit
* calculated volume: 16.71 Å³ per atom

***

Record 3
Compound: Co2CuBr6
Source: the Alexandria database
Functional: PBE
Structure: relaxed

a b c (Å): 9.8761 9.8761 6.5854
angles (deg): 106.48 106.48 90.68
Fractional coordinates of all 18 atoms:
Co  0.1387  0.3046  0.3429
Co  0.3046  0.1387  0.8429
Co  0.6954  0.8613  0.1571
Co  0.8613  0.6954  0.6571
Cu  0.2874  0.7126  0.7500
Cu  0.7126  0.2874  0.2500
Br  0.0888  0.6847  0.8874
Br  0.1101  0.2474  0.6603
Br  0.2474  0.1101  0.1603
Br  0.2904  0.5106  0.4344
Br  0.3153  0.9112  0.6126
Br  0.4894  0.7096  0.0656
Br  0.5106  0.2904  0.9344
Br  0.6847  0.0888  0.3874
Br  0.7096  0.4894  0.5656
Br  0.7526  0.8899  0.8397
Br  0.8899  0.7526  0.3397
Br  0.9112  0.3153  0.1126

Values from the calculation:
* SG: C2/c, No. 15
* magnetization: 7.06 μB per formula unit
* raw formation energy: -0.305 eV per atom
* calculated volume: 32.65 Å³ per atom

***

Record 4
Compound: Tb2YTmP4
Source: the Alexandria database
Functional: PBE
Structure: relaxed

a b c (Å): 6.9344 4.0063 6.9361
angles (deg): 90.00 109.47 90.00
Fractional coordinates of all 8 atoms:
Tb  0.0000  0.0000  0.0000
Tb  0.0000  0.5000  0.5000
Y  0.5000  0.0000  0.5000
Tm  0.5000  0.5000  0.0000
P  0.2521  0.5000  0.2488
P  0.2535  0.0000  0.7531
P  0.7465  0.0000  0.2469
P  0.7479  0.5000  0.7512

Values from the calculation:
* E: -6.843 eV per atom
* SG: P2/m, No. 10
* magnetization: 0.00 μB per formula unit
* calculated volume: 22.71 Å³ per atom